A plane-wave DFT calculation with PBE was carried out for a relaxed TlPbO2 crystal.

Summary:
* formation energy from raw total energies: -0.70 eV per atom
* N(E_F): 2.57 states/eV/f.u.
* symmetry: R3m
* excess energy over the best structure of this formula in the dataset: 52 meV per atom

abc: 3.6311 3.6311 20.3761
angles: 90.00 90.00 120.00
Closest atoms and distances in Å follow each position.
Fractional coordinates of all 12 atoms:
1 Tl 0.0000 0.0000 0.0000  3 O 2.70
2 Tl 0.3333 0.6667 0.6667  3 O 2.70
3 Tl 0.6667 0.3333 0.3333  3 O 2.70
4 Pb 0.0000 0.0000 0.1810  6 O 2.33-2.52
5 Pb 0.3333 0.6667 0.8477  6 O 2.33-2.52
6 Pb 0.6667 0.3333 0.5144  6 O 2.33-2.52
7 O 0.0000 0.0000 0.5832  3 Pb 2.52, 3 Tl 2.70
8 O 0.0000 0.0000 0.7979  3 Pb 2.33
9 O 0.3333 0.6667 0.2499  3 Pb 2.52, 3 Tl 2.70
10 O 0.3333 0.6667 0.4646  3 Pb 2.33
11 O 0.6667 0.3333 0.1312  3 Pb 2.33
12 O 0.6667 0.3333 0.9166  3 Pb 2.52, 3 Tl 2.70